Below is RbMg2N after structural relaxation, with properties calculated at the PBE-GGA level.

## Properties
uncorrected energy	-25.3	eV for the cell shown
formation energy from raw total energies	-0.047	eV/atom

Unit cell a=6.790 b=6.790 c=6.790 alpha=60.00 beta=60.00 gamma=60.00
Atoms (fractional coordinates):
1 Rb 0.125 0.125 0.125
2 Rb 0.875 0.875 0.875
3 Mg 0.000 0.500 0.500
4 Mg 0.500 0.000 0.500
5 Mg 0.500 0.500 0.000
6 Mg 0.500 0.500 0.500
7 N 0.375 0.375 0.375
8 N 0.625 0.625 0.625

=====

Below is RbMg3N after structural relaxation, with properties calculated at the PBE-GGA level.

## Properties
uncorrected energy	-12.1	eV for the cell shown
relative energy among the computed polymorphs	0.0	meV/atom
formation energy from raw total energies	0.395	eV/atom

Unit cell a=4.835 b=4.835 c=4.835 alpha=90.00 beta=90.00 gamma=90.00
Atoms (fractional coordinates):
1 Rb 0.000 0.000 0.000
2 Mg 0.000 0.500 0.500
3 Mg 0.500 0.000 0.500
4 Mg 0.500 0.500 0.000
5 N 0.500 0.500 0.500

=====

Below is Rb2MgN after structural relaxation, with properties calculated at the PBE-GGA level.

## Properties
uncorrected energy	-22.7	eV for the cell shown
relative energy among the computed polymorphs	0.0	meV/atom
formation energy from raw total energies	0.130	eV/atom

Unit cell a=9.222 b=9.222 c=9.222 alpha=92.63 beta=92.63 gamma=155.26
Atoms (fractional coordinates):
1 Rb 0.375 0.168 0.293
2 Rb 0.832 0.125 0.207
3 Rb 0.875 0.082 0.707
4 Rb 0.918 0.625 0.793
5 Mg 0.250 0.750 0.500
6 Mg 0.500 0.500 0.000
7 N 0.000 0.000 0.000
8 N 0.750 0.250 0.500

=====

Below is RbMg3N after structural relaxation, with properties calculated at the PBE-GGA level.

## Properties
uncorrected energy	-3.2	eV for the cell shown
relative energy among the computed polymorphs	1781.2	meV/atom
formation energy from raw total energies	2.177	eV/atom

Unit cell a=7.226 b=7.226 c=7.226 alpha=90.00 beta=90.00 gamma=90.00
Atoms (fractional coordinates):
1 Rb 0.000 0.000 0.000
2 Mg 0.000 0.000 0.500
3 Mg 0.000 0.500 0.000
4 Mg 0.500 0.000 0.000
5 N 0.500 0.500 0.500